(1)
A plane-wave DFT calculation with PBE was carried out for a geometry-optimized BaLiCdGa structure.

Lattice parameters (Å, degrees): 5.278 5.278 5.278 60.00 60.00 60.00
Sites, in units of the cell vectors:
Li 0.500 0.500 0.500
Ga 0.000 0.000 0.000
Ba 0.250 0.250 0.250
Cd 0.750 0.750 0.750

(2)
A plane-wave DFT calculation with PBE was carried out for a geometry-optimized BaLiCd2Ga structure.

Lattice parameters (Å, degrees): 5.341 5.341 5.189 90.00 90.00 90.00
Sites, in units of the cell vectors:
Ba 0.500 0.500 0.500
Cd 0.000 0.500 0.000
Cd 0.500 0.000 0.000
Li 0.000 0.000 0.500
Ga 0.000 0.000 0.000

(3)
A plane-wave DFT calculation with PBE was carried out for a geometry-optimized BaLiCd2Ga structure.

Lattice parameters (Å, degrees): 6.438 6.102 6.438 90.00 90.00 90.00
Sites, in units of the cell vectors:
Ga 0.000 0.500 0.000
Li 0.500 0.500 0.500
Cd 0.500 0.000 0.000
Cd 0.000 0.000 0.500
Ba 0.000 0.000 0.000

(4)
A plane-wave DFT calculation with PBE was carried out for a geometry-optimized BaLuCdGa structure.

Lattice parameters (Å, degrees): 5.506 5.506 5.506 60.00 60.00 60.00
Sites, in units of the cell vectors:
Cd 0.250 0.250 0.250
Ba 0.000 0.000 0.000
Lu 0.500 0.500 0.500
Ga 0.750 0.750 0.750

(5)
A plane-wave DFT calculation with PBE was carried out for a geometry-optimized BaMgCd4Ga2 structure.

Lattice parameters (Å, degrees): 4.844 4.844 10.526 76.70 76.70 60.00
Sites, in units of the cell vectors:
Ga 0.760 0.760 0.720
Ga 0.240 0.240 0.280
Cd 0.404 0.404 0.789
Cd 0.596 0.596 0.211
Cd 0.870 0.870 0.391
Cd 0.130 0.130 0.609
Mg 0.500 0.500 0.500
Ba 0.000 0.000 0.000

(6)
A plane-wave DFT calculation with PBE was carried out for a geometry-optimized Ba2Mg12Cd3Ga structure.

Lattice parameters (Å, degrees): 11.464 11.464 11.464 38.41 38.41 38.41
Sites, in units of the cell vectors:
Mg 0.585 0.585 0.190
Mg 0.071 0.071 0.649
Mg 0.351 0.929 0.929
Mg 0.585 0.190 0.585
Mg 0.071 0.649 0.071
Mg 0.929 0.929 0.351
Mg 0.415 0.415 0.810
Mg 0.190 0.585 0.585
Mg 0.929 0.351 0.929
Mg 0.810 0.415 0.415
Mg 0.649 0.071 0.071
Mg 0.415 0.810 0.415
Ba 0.649 0.649 0.649
Ba 0.351 0.351 0.351
Ga 0.000 0.000 0.000
Cd 0.000 0.000 0.500
Cd 0.500 0.000 0.000
Cd 0.000 0.500 0.000

(7)
A plane-wave DFT calculation with PBE was carried out for a geometry-optimized BaMg2Cd4Ga structure.

Lattice parameters (Å, degrees): 4.901 4.901 10.658 76.71 76.71 60.00
Sites, in units of the cell vectors:
Mg 0.236 0.236 0.292
Mg 0.764 0.764 0.708
Cd 0.130 0.130 0.609
Cd 0.870 0.870 0.391
Cd 0.595 0.595 0.214
Cd 0.405 0.405 0.786
Ba 0.000 0.000 0.000
Ga 0.500 0.500 0.500

(8)
A plane-wave DFT calculation with PBE was carried out for a geometry-optimized Ba2MgCd6Ga structure.

Lattice parameters (Å, degrees): 7.434 7.512 7.340 61.45 59.67 90.30
Sites, in units of the cell vectors:
Cd 0.635 0.126 0.035
Cd 0.838 0.875 0.795
Cd 0.669 0.873 0.491
Cd 0.365 0.874 0.965
Cd 0.162 0.125 0.205
Cd 0.331 0.127 0.509
Ba 0.809 0.431 0.379
Ba 0.191 0.569 0.621
Mg 0.500 0.500 0.000
Ga 0.000 0.000 0.000

(9)
A plane-wave DFT calculation with PBE was carried out for a geometry-optimized Ba2MgCd3Ga4 structure.

Lattice parameters (Å, degrees): 4.750 4.750 11.645 90.00 90.00 90.00
Sites, in units of the cell vectors:
Ga 0.500 0.000 0.633
Ga 0.500 0.500 0.000
Ga 0.000 0.500 0.367
Ga 0.000 0.000 0.000
Cd 0.000 0.000 0.500
Cd 0.500 0.000 0.870
Cd 0.000 0.500 0.130
Mg 0.500 0.500 0.500
Ba 0.000 0.500 0.754
Ba 0.500 0.000 0.246

(10)
A plane-wave DFT calculation with PBE was carried out for a geometry-optimized Ba2Mg6CdGa structure.

Lattice parameters (Å, degrees): 7.701 7.385 7.718 61.29 57.22 89.94
Sites, in units of the cell vectors:
Mg 0.254 0.745 0.098
Mg 0.158 0.255 0.490
Mg 0.842 0.745 0.510
Mg 0.746 0.255 0.902
Mg 0.747 0.842 0.902
Mg 0.253 0.158 0.098
Cd 0.000 0.000 0.000
Ba 0.707 0.294 0.412
Ba 0.293 0.706 0.588
Ga 0.500 0.500 0.000

(11)
A plane-wave DFT calculation with PBE was carried out for a geometry-optimized BaMgCd2Ga structure.

Lattice parameters (Å, degrees): 4.820 4.576 7.076 108.86 109.91 90.00
Sites, in units of the cell vectors:
Ba 0.438 0.438 0.877
Mg 0.201 0.701 0.402
Cd 0.052 0.052 0.103
Cd 0.695 0.195 0.390
Ga 0.826 0.826 0.653

(12)
A plane-wave DFT calculation with PBE was carried out for a geometry-optimized Ba2Mg3Cd12Ga structure.

Lattice parameters (Å, degrees): 12.792 12.792 12.792 31.24 31.24 31.24
Sites, in units of the cell vectors:
Mg 0.000 0.500 0.000
Mg 0.000 0.000 0.500
Mg 0.500 0.000 0.000
Ga 0.000 0.000 0.000
Cd 0.590 0.590 0.163
Cd 0.410 0.410 0.837
Cd 0.098 0.621 0.098
Cd 0.590 0.163 0.590
Cd 0.410 0.837 0.410
Cd 0.837 0.410 0.410
Cd 0.379 0.902 0.902
Cd 0.902 0.902 0.379
Cd 0.163 0.590 0.590
Cd 0.621 0.098 0.098
Cd 0.902 0.379 0.902
Cd 0.098 0.098 0.621
Ba 0.644 0.644 0.644
Ba 0.356 0.356 0.356

no.,energy of formation (kJ/mol of formula units),energy (eV for the cell shown),DOS at the Fermi energy (states/eV per atom)
1,-84,-8.65,0.614
2,-67,-9.39,0.496
3,306,-5.53,1.025
4,-80,-11.21,0.765
5,-104,-14.31,0.332
6,121,-27.50,0.613
7,-106,-12.90,0.445
8,-192,-15.95,0.377
9,-311,-23.52,0.483
10,-99,-18.39,0.406
11,-143,-9.85,0.534
12,-98,-23.65,0.368